[1]
Ga4Ir | GGA-PBE | relaxed

Computed properties:
**Magnetization**: 0.0 μB/f.u.
**Formation enthalpy at 0 K**: -0.23 eV/atom
**Fermi-level density of states**: 1.0 states/eV/f.u.
**Symmetry**: No. 15

abc: 8.9266 8.9366 8.9366
angles: 84.63 64.62 64.62
Last column: nearest neighbours and their distance in Å.
Atoms (fractional coordinates):
Ir1 0.6346 0.7814 0.6515  7 Ga 2.44-2.57
Ga1 0.7500 0.6179 0.3821  2 Ir 2.50, 2 Ga 2.70
Ga2 0.2500 0.3821 0.6179  2 Ir 2.50, 2 Ga 2.70
Ga3 0.8703 0.2496 0.4809  2 Ir 2.44-2.47
Ga4 0.5000 0.0000 0.5000  2 Ir 2.45, 2 Ga 2.73
Ga5 0.1769 0.3095 0.1832  2 Ir 2.53, 2 Ga 2.73-2.78
Ga6 0.2307 0.6412 0.0064  2 Ir 2.47-2.48
Ga7 0.6297 0.5191 0.7504  2 Ir 2.44-2.47
Ir2 0.1346 0.6515 0.7814  7 Ga 2.44-2.57
Ga8 0.8231 0.6905 0.8168  2 Ir 2.53, 2 Ga 2.73-2.78
Ga9 0.7693 0.3588 0.9936  2 Ir 2.47-2.48
Ga10 0.4474 0.8941 0.9624  2 Ir 2.57-2.64, 4 Ga 2.69-2.87
Ga11 0.6769 0.1832 0.3095  2 Ir 2.53, 2 Ga 2.73-2.78
Ga12 0.9048 0.8318 0.3227  1 Ir 2.64, 5 Ga 2.70-2.95
Ga13 0.9474 0.9624 0.8941  2 Ir 2.57-2.64, 4 Ga 2.69-2.87
Ga14 0.1297 0.7504 0.5191  2 Ir 2.44-2.47
Ir3 0.8654 0.3485 0.2186  7 Ga 2.44-2.57
Ir4 0.7500 0.2185 0.7815  8 Ga 2.47-2.64
Ga15 0.5526 0.1059 0.0376  2 Ir 2.57-2.64, 4 Ga 2.69-2.87
Ga16 0.3231 0.8168 0.6905  2 Ir 2.53, 2 Ga 2.73-2.78
Ir5 0.3654 0.2186 0.3485  7 Ga 2.44-2.57
Ga17 0.3703 0.4809 0.2496  2 Ir 2.44-2.47
Ga18 0.5952 0.6773 0.1682  1 Ir 2.64, 5 Ga 2.70-2.95
Ga19 0.4048 0.3227 0.8318  1 Ir 2.64, 5 Ga 2.70-2.95
Ga20 0.0952 0.1682 0.6773  1 Ir 2.64, 5 Ga 2.70-2.95
Ir6 0.2500 0.7815 0.2185  8 Ga 2.47-2.64
Ga21 0.2693 0.9936 0.3588  2 Ir 2.47-2.48
Ga22 0.0526 0.0376 0.1059  2 Ir 2.57-2.64, 4 Ga 2.69-2.87
Ga23 0.0000 0.5000 0.0000  2 Ir 2.45, 2 Ga 2.73
Ga24 0.7307 0.0064 0.6412  2 Ir 2.47-2.48

***

[2]
LiAcZn17 | GGA-PBE | relaxed

Computed properties:
**Magnetization**: 0.0 μB/f.u.
**Formation enthalpy at 0 K**: -0.12 eV/atom
**Fermi-level density of states**: 6.1 states/eV/f.u.
**Symmetry**: No. 160

abc: 6.8946 6.8946 6.8946
angles: 83.12 83.12 83.12
Last column: nearest neighbours and their distance in Å.
Atoms (fractional coordinates):
Zn1 0.7003 0.2914 0.0061  8 Zn 2.61-2.83
Zn2 0.3457 0.8497 0.3457  9 Zn 2.62-2.79
Zn3 0.6437 0.1657 0.6437  8 Zn 2.62-2.83
Zn4 0.6437 0.6437 0.1657  8 Zn 2.62-2.83
Zn5 0.9925 0.9925 0.5054  10 Zn 2.61-2.80
Zn6 0.7003 0.0061 0.2914  8 Zn 2.61-2.83
Zn7 0.9064 0.9064 0.9064  13 Zn 2.69-3.00
Zn8 0.5054 0.9925 0.9925  10 Zn 2.61-2.80
Zn9 0.2914 0.7003 0.0061  8 Zn 2.61-2.83
Zn10 0.8497 0.3457 0.3457  9 Zn 2.62-2.79
Zn11 0.9925 0.5054 0.9925  10 Zn 2.61-2.80
Zn12 0.2914 0.0061 0.7003  8 Zn 2.61-2.83
Ac1 0.6598 0.6598 0.6598  19 Zn 3.28-3.46
Zn13 0.0061 0.2914 0.7003  8 Zn 2.61-2.83
Zn14 0.3457 0.3457 0.8497  9 Zn 2.62-2.79
Zn15 0.1088 0.1088 0.1088  7 Zn 2.69-2.80
Zn16 0.1657 0.6437 0.6437  8 Zn 2.62-2.83
Li1 0.3448 0.3448 0.3448  16 Zn 3.13-3.48
Zn17 0.0061 0.7003 0.2914  8 Zn 2.61-2.83

***

[3]
BiTe3Br | GGA-PBE | relaxed

Computed properties:
**Magnetization**: 0.0 μB/f.u.
**Fermi-level density of states**: 3.0 states/eV/f.u.
**Raw formation energy**: 705 meV/atom
**Symmetry**: No. 221

abc: 5.5666 5.5666 5.5666
angles: 90.00 90.00 90.00
Last column: nearest neighbours and their distance in Å.
Atoms (fractional coordinates):
Te1 0.0000 0.5000 0.0000  2 Br 2.78
Te2 0.0000 0.0000 0.5000  2 Br 2.78
Br1 0.0000 0.0000 0.0000  6 Te 2.78
Te3 0.5000 0.0000 0.0000  2 Br 2.78
Bi1 0.5000 0.5000 0.5000  12 Te 3.94

***

[4]
Rb3Pu2PbSe6 | GGA-PBE | relaxed

Computed properties:
**Magnetization**: 9.0 μB/f.u.
**Fermi-level density of states**: 23.0 states/eV/f.u.
**Raw formation energy**: -1251 meV/atom
**Symmetry**: No. 12

abc: 7.5548 7.5548 8.3133
angles: 98.73 98.73 119.96
Last column: nearest neighbours and their distance in Å.
Atoms (fractional coordinates):
Se1 0.7101 0.7101 0.1952  2 Pu 2.90, 1 Pb 3.10
Pu1 0.6673 0.3327 0.0000  6 Se 2.89-2.90
Rb1 0.1596 0.8404 0.5000  6 Se 3.41-3.55
Rb2 0.8404 0.1596 0.5000  6 Se 3.41-3.55
Pb1 0.0000 0.0000 0.0000  6 Se 3.10-3.11
Se2 0.0662 0.4216 0.1975  2 Pu 2.89-2.90, 1 Pb 3.11
Se3 0.2899 0.2899 0.8048  2 Pu 2.90, 1 Pb 3.10
Se4 0.9338 0.5784 0.8025  2 Pu 2.89-2.90, 1 Pb 3.11
Se5 0.4216 0.0662 0.1975  2 Pu 2.89-2.90, 1 Pb 3.11
Rb3 0.5000 0.5000 0.5000  6 Se 3.37-3.54
Se6 0.5784 0.9338 0.8025  2 Pu 2.89-2.90, 1 Pb 3.11
Pu2 0.3327 0.6673 0.0000  6 Se 2.89-2.90

***

[5]
MnCrFeNi | GGA-PBE | relaxed

Computed properties:
**Magnetization**: 3.4 μB/f.u.
**Formation enthalpy at 0 K**: 0.10 eV/atom
**Fermi-level density of states**: 7.1 states/eV/f.u.
**Symmetry**: No. 216

abc: 4.0301 4.0301 4.0301
angles: 60.00 60.00 60.00
Last column: nearest neighbours and their distance in Å.
Atoms (fractional coordinates):
Ni1 0.2500 0.2500 0.2500  4 Mn 2.47, 4 Fe 2.47
Fe1 0.0000 0.0000 0.0000  4 Cr 2.47, 4 Ni 2.47
Mn1 0.5000 0.5000 0.5000  4 Ni 2.47, 4 Cr 2.47
Cr1 0.7500 0.7500 0.7500  4 Mn 2.47, 4 Fe 2.47

***

[6]
InBRh2N | GGA-PBE | relaxed

Computed properties:
**Magnetization**: 1.8 μB/f.u.
**Fermi-level density of states**: 7.3 states/eV/f.u.
**Raw formation energy**: 2386 meV/atom
**Symmetry**: No. 123

abc: 5.0063 3.8953 5.0063
angles: 90.00 90.00 90.00
Last column: nearest neighbours and their distance in Å.
Atoms (fractional coordinates):
B1 0.5000 0.5000 0.5000  8 Rh 3.17, 4 N 3.54
In1 0.0000 0.0000 0.0000  2 N 1.95
Rh1 0.0000 0.0000 0.5000  2 In 2.50
Rh2 0.5000 0.0000 0.0000  2 In 2.50
N1 0.0000 0.5000 0.0000  2 In 1.95

***

[7]
SrTc2Pb | GGA-PBE | relaxed

Computed properties:
**Magnetization**: 0.0 μB/f.u.
**Formation enthalpy at 0 K**: 0.25 eV/atom
**Fermi-level density of states**: 2.3 states/eV/f.u.
**Symmetry**: No. 99

abc: 3.2003 3.2008 9.1906
angles: 69.61 90.00 90.00
Last column: nearest neighbours and their distance in Å.
Atoms (fractional coordinates):
Tc1 0.0000 0.9403 0.0598  4 Tc 2.59
Tc2 0.5000 0.2934 0.2066  4 Tc 2.59
Pb1 0.0000 0.5517 0.4484  5 Tc 3.08-3.35, 4 Pb 3.20
Sr1 0.5000 0.7146 0.7853  4 Sr 3.20, 4 Tc 3.27

***

[8]
NdCd23Hg6 | GGA-PBE | relaxed

Computed properties:
**Magnetization**: 0.0 μB/f.u.
**Formation enthalpy at 0 K**: 0.01 eV/atom
**Fermi-level density of states**: 15.1 states/eV/f.u.
**Symmetry**: No. 225

abc: 10.0704 10.0704 10.0704
angles: 60.00 60.00 60.00
Last column: nearest neighbours and their distance in Å.
Atoms (fractional coordinates):
Cd1 0.6506 0.6506 0.0481  6 Cd 2.93-3.26, 3 Hg 3.23
Cd2 0.5000 0.0000 0.5000  8 Cd 2.93-3.09
Cd3 0.8763 0.8763 0.8763  7 Cd 3.05-3.26, 3 Hg 3.26
Hg1 0.7281 0.7281 0.2719  12 Cd 3.23-3.57, 1 Nd 3.25
Cd4 0.0000 0.5000 0.5000  8 Cd 2.93-3.09
Cd5 0.3494 0.3494 0.9519  6 Cd 2.93-3.26, 3 Hg 3.23
Cd6 0.3494 0.9519 0.3494  6 Cd 2.93-3.26, 3 Hg 3.23
Hg2 0.7281 0.2719 0.2719  12 Cd 3.23-3.57, 1 Nd 3.25
Hg3 0.2719 0.2719 0.7281  12 Cd 3.23-3.57, 1 Nd 3.25
Cd7 0.8763 0.3711 0.8763  7 Cd 3.05-3.26, 3 Hg 3.26
Cd8 0.6289 0.1237 0.1237  7 Cd 3.05-3.26, 3 Hg 3.26
Cd9 0.0000 0.5000 0.0000  8 Cd 2.93-3.09
Cd10 0.1237 0.1237 0.6289  7 Cd 3.05-3.26, 3 Hg 3.26
Cd11 0.3711 0.8763 0.8763  7 Cd 3.05-3.26, 3 Hg 3.26
Cd12 0.0000 0.0000 0.0000  8 Cd 3.05
Cd13 0.5000 0.5000 0.0000  8 Cd 2.93-3.09
Cd14 0.1237 0.6289 0.1237  7 Cd 3.05-3.26, 3 Hg 3.26
Hg4 0.2719 0.7281 0.2719  12 Cd 3.23-3.57, 1 Nd 3.25
Nd1 0.5000 0.5000 0.5000  6 Hg 3.25
Cd15 0.0000 0.0000 0.5000  8 Cd 2.93-3.09
Cd16 0.1237 0.1237 0.1237  7 Cd 3.05-3.26, 3 Hg 3.26
Cd17 0.0481 0.6506 0.6506  6 Cd 2.93-3.26, 3 Hg 3.23
Hg5 0.7281 0.2719 0.7281  12 Cd 3.23-3.57, 1 Nd 3.25
Cd18 0.3494 0.3494 0.3494  6 Cd 2.93-3.26, 3 Hg 3.23
Cd19 0.6506 0.0481 0.6506  6 Cd 2.93-3.26, 3 Hg 3.23
Cd20 0.6506 0.6506 0.6506  6 Cd 2.93-3.26, 3 Hg 3.23
Cd21 0.8763 0.8763 0.3711  7 Cd 3.05-3.26, 3 Hg 3.26
Cd22 0.5000 0.0000 0.0000  8 Cd 2.93-3.09
Hg6 0.2719 0.7281 0.7281  12 Cd 3.23-3.57, 1 Nd 3.25
Cd23 0.9519 0.3494 0.3494  6 Cd 2.93-3.26, 3 Hg 3.23